{
  "formula": "LiCoNO",
  "functional": "GGA+U",
  "state": "optimized geometry",
  "lattice": [[3.0897, 0.0000, 0.0000], [0.0000, 5.4663, 0.0000], [0.0000, 0.0000, 4.9220]],
  "species": ["Li", "Li", "Co", "Co", "N", "N", "O", "O"],
  "frac_coords": [[0.0000, 0.1558, 0.0000], [0.0000, 0.8442, 0.5000], [0.5000, 0.3418, 0.4913], [0.5000, 0.6582, 0.9913], [0.5000, 0.3683, 0.8442], [0.5000, 0.6317, 0.3442], [0.0000, 0.1771, 0.3907], [0.0000, 0.8229, 0.8907]],
  "relative_energy_mev_per_atom": 69.5,
  "e_tot_ev_per_fu": -21.81,
  "magmom_total_mub_per_cell": 3.44
}